Record 1
Here is CsNaCuCl4 after structural relaxation from the Alexandria database. Energies are from GGA-PBE.

Output
DOS at the Fermi energy (states/eV/f.u.): 6.52
Total DFT energy (no corrections) (eV per atom): -3.222
ΔE_f (raw) (kJ/mol of atoms): -122.7

The structure in CIF format:
```
data_CsNaCuCl4
_chemical_formula_sum 'Cs2 Na2 Cu2 Cl8'
_cell_length_a 6.936
_cell_length_b 6.990
_cell_length_c 9.190
_cell_angle_alpha 90.00
_cell_angle_beta 107.91
_cell_angle_gamma 90.00
_symmetry_space_group_name_H-M 'P 1 21/m 1'
_symmetry_Int_Tables_number 11
loop_
_symmetry_equiv_pos_as_xyz
'x,y,z'
'-x,-y,-z'
'-x,y+1/2,-z'
'x,-y+1/2,z'
loop_
_atom_site_label
_atom_site_fract_x
_atom_site_fract_y
_atom_site_fract_z
_atom_site_occupancy
Cs1 0.231 0.250 0.433 1
Na1 0.276 0.250 0.946 1
Cu1 0.281 0.750 0.171 1
Cl1 0.050 0.750 0.939 1
Cl2 0.086 0.750 0.333 1
Cl3 0.494 0.006 0.790 1
```

Record 2
Here is CsNa2CuCl4 after structural relaxation from the Alexandria database. Energies are from GGA-PBE.

Output
DOS at the Fermi energy (states/eV/f.u.): 0.00
Total DFT energy (no corrections) (eV per atom): -3.362
ΔE_f (raw) (kJ/mol of atoms): -143.8

The structure in CIF format:
```
data_CsNa2CuCl4
_chemical_formula_sum 'Cs4 Na8 Cu4 Cl16'
_cell_length_a 4.134
_cell_length_b 14.373
_cell_length_c 14.324
_cell_angle_alpha 90.00
_cell_angle_beta 90.00
_cell_angle_gamma 90.00
_symmetry_space_group_name_H-M 'C m c m'
_symmetry_Int_Tables_number 63
_symmetry_space_group_name_Hall '-C 2c 2'
loop_
_atom_site_label
_atom_site_fract_x
_atom_site_fract_y
_atom_site_fract_z
_atom_site_occupancy
Cs1 0.000 0.106 0.250 1
Na1 0.000 0.371 0.049 1
Cu1 0.000 0.169 0.750 1
Cl1 0.000 0.000 0.000 1
Cl2 0.000 0.254 0.612 1
Cl3 0.000 0.413 0.250 1
```

Record 3
Here is CsNa2Cu2Cl6 after structural relaxation from the Alexandria database. Energies are from GGA-PBE.

Output
DOS at the Fermi energy (states/eV/f.u.): 5.29
Total DFT energy (no corrections) (eV per atom): -3.284
ΔE_f (raw) (kJ/mol of atoms): -117.2

The structure in CIF format:
```
data_CsNa2Cu2Cl6
_chemical_formula_sum 'Cs1 Na2 Cu2 Cl6'
_cell_length_a 7.467
_cell_length_b 7.555
_cell_length_c 7.831
_cell_angle_alpha 113.76
_cell_angle_beta 116.79
_cell_angle_gamma 92.67
_symmetry_space_group_name_H-M 'P -1'
_symmetry_Int_Tables_number 2
loop_
_symmetry_equiv_pos_as_xyz
'x,y,z'
'-x,-y,-z'
loop_
_atom_site_label
_atom_site_fract_x
_atom_site_fract_y
_atom_site_fract_z
_atom_site_occupancy
Cs1 0.000 0.000 0.000 1
Na1 0.311 0.963 0.638 1
Cu1 0.314 0.443 0.721 1
Cl1 0.086 0.254 0.737 1
Cl2 0.348 0.765 0.885 1
Cl3 0.431 0.238 0.527 1
```

Record 4
Here is CsNaCu2Cl8 after structural relaxation from the Alexandria database. Energies are from GGA-PBE.

Output
DOS at the Fermi energy (states/eV/f.u.): 10.33
Total DFT energy (no corrections) (eV per atom): -2.878
ΔE_f (raw) (kJ/mol of atoms): -75.6

The structure in CIF format:
```
data_CsNaCu2Cl8
_chemical_formula_sum 'Cs3 Na3 Cu6 Cl24'
_cell_length_a 6.5513
_cell_length_b 6.5513
_cell_length_c 28.5905
_cell_angle_alpha 90.00
_cell_angle_beta 90.00
_cell_angle_gamma 120.00
_symmetry_space_group_name_H-M 'R -3'
_symmetry_Int_Tables_number 148
_symmetry_space_group_name_Hall '-R 3'
loop_
_atom_site_label
_atom_site_fract_x
_atom_site_fract_y
_atom_site_fract_z
_atom_site_occupancy
Cs1 0.0000 0.0000 0.0000 1
Na1 0.0000 0.0000 0.5000 1
Cu1 0.0000 0.0000 0.2476 1
Cl1 0.0000 0.0000 0.3248 1
Cl2 0.0015 0.6508 0.4398 1
```

Record 5
Here is Cs3NaCu2Cl6 after structural relaxation from the Alexandria database. Energies are from GGA-PBE.

Output
DOS at the Fermi energy (states/eV/f.u.): 0.00
Total DFT energy (no corrections) (eV per atom): -3.338
ΔE_f (raw) (kJ/mol of atoms): -136.0

The structure in CIF format:
```
data_Cs3NaCu2Cl6
_chemical_formula_sum 'Cs3 Na1 Cu2 Cl6'
_cell_length_a 7.6208
_cell_length_b 7.6208
_cell_length_c 8.9781
_cell_angle_alpha 90.00
_cell_angle_beta 90.00
_cell_angle_gamma 120.00
_symmetry_space_group_name_H-M 'P -3 m 1'
_symmetry_Int_Tables_number 164
_symmetry_space_group_name_Hall '-P 3 2"'
loop_
_atom_site_label
_atom_site_fract_x
_atom_site_fract_y
_atom_site_fract_z
_atom_site_occupancy
Cs1 0.0000 0.0000 0.0000 1
Cs2 0.3333 0.6667 0.6664 1
Na1 0.0000 0.0000 0.5000 1
Cu1 0.3333 0.6667 0.2837 1
Cl1 0.1649 0.3299 0.2967 1
```

Record 6
Here is CsNbCu2Cl8 after structural relaxation from the Alexandria database. Energies are from GGA-PBE.

Output
Total DFT energy (no corrections) (eV per atom): -3.869
ΔE_f (raw) (kJ/mol of atoms): -100.8

The structure in CIF format:
```
data_CsNbCu2Cl8
_chemical_formula_sum 'Cs3 Nb3 Cu6 Cl24'
_cell_length_a 6.1451
_cell_length_b 6.1451
_cell_length_c 34.5342
_cell_angle_alpha 90.00
_cell_angle_beta 90.00
_cell_angle_gamma 120.00
_symmetry_space_group_name_H-M 'R 3 2'
_symmetry_Int_Tables_number 155
_symmetry_space_group_name_Hall 'R 3 2"'
loop_
_atom_site_label
_atom_site_fract_x
_atom_site_fract_y
_atom_site_fract_z
_atom_site_occupancy
Cs1 0.0000 0.0000 0.0000 1
Nb1 0.0000 0.0000 0.5000 1
Cu1 0.0000 0.0000 0.2394 1
Cl1 0.0000 0.0000 0.3024 1
Cl2 0.0034 0.3043 0.4550 1
```

Record 7
Here is Cs2NdCuCl6 after structural relaxation from the Alexandria database. Energies are from GGA-PBE.

Output
DOS at the Fermi energy (states/eV/f.u.): 0.00
Total DFT energy (no corrections) (eV per atom): -3.964
ΔE_f (raw) (kJ/mol of atoms): -173.6

The structure in CIF format:
```
data_Cs2NdCuCl6
_chemical_formula_sum 'Cs4 Nd2 Cu2 Cl12'
_cell_length_a 8.135
_cell_length_b 8.135
_cell_length_c 9.895
_cell_angle_alpha 90.00
_cell_angle_beta 90.00
_cell_angle_gamma 90.00
_symmetry_space_group_name_H-M 'I 4/m m m'
_symmetry_Int_Tables_number 139
_symmetry_space_group_name_Hall '-I 4 2'
loop_
_atom_site_label
_atom_site_fract_x
_atom_site_fract_y
_atom_site_fract_z
_atom_site_occupancy
Cs1 0.000 0.500 0.250 1
Nd1 0.000 0.000 0.000 1
Cu1 0.000 0.000 0.500 1
Cl1 0.000 0.000 0.279 1
Cl2 0.237 0.237 0.000 1
```

Record 8
Here is CsNdCu2Cl6 after structural relaxation from the Alexandria database. Energies are from GGA-PBE.

Output
DOS at the Fermi energy (states/eV/f.u.): 0.00
Total DFT energy (no corrections) (eV per atom): -3.971
ΔE_f (raw) (kJ/mol of atoms): -143.0

The structure in CIF format:
```
data_CsNdCu2Cl6
_chemical_formula_sum 'Cs1 Nd1 Cu2 Cl6'
_cell_length_a 7.131
_cell_length_b 7.132
_cell_length_c 8.746
_cell_angle_alpha 90.08
_cell_angle_beta 114.05
_cell_angle_gamma 119.61
_symmetry_space_group_name_H-M 'P 1'
_symmetry_Int_Tables_number 1
loop_
_symmetry_equiv_pos_as_xyz
'x,y,z'
loop_
_atom_site_label
_atom_site_fract_x
_atom_site_fract_y
_atom_site_fract_z
_atom_site_occupancy
Cs1 0.000 0.000 0.000 1
Nd1 0.000 0.500 0.500 1
Cu1 0.470 0.233 0.701 1
Cu2 0.531 0.767 0.299 1
Cl1 0.189 0.285 0.712 1
Cl2 0.192 0.478 0.287 1
Cl3 0.423 0.900 0.715 1
Cl4 0.577 0.099 0.285 1
Cl5 0.810 0.522 0.714 1
Cl6 0.810 0.713 0.287 1
```